Material: VCI2O
Method: DFT, PBE+U
State: relaxed

Calculated values
magnetization = 2.999 μB/f.u.
calculated density = 4.78 Mg/m³
distance to the lowest polymorph of the same formula = 0.000 eV per atom

Unit cell a=5.605 b=5.605 c=3.679 alpha=90.00 beta=90.00 gamma=90.00
Positions (direct):
V (0.000, 0.000, 0.000)
C (0.500, 0.500, 0.500)
I (0.000, 0.500, 0.000)
I (0.500, 0.000, 0.000)
O (0.000, 0.000, 0.500)

Material: VCIO2
Method: DFT, PBE+U
State: relaxed

Calculated values
magnetization = 1.967 μB/f.u.
calculated density = 4.48 Mg/m³
distance to the lowest polymorph of the same formula = 0.000 eV per atom

Unit cell a=3.671 b=3.671 c=6.098 alpha=90.00 beta=90.00 gamma=90.00
Positions (direct):
V (0.000, 0.000, 0.000)
C (0.500, 0.500, 0.500)
I (0.000, 0.000, 0.500)
O (0.000, 0.500, 0.000)
O (0.500, 0.000, 0.000)

Material: VCIO2
Method: DFT, PBE+U
State: relaxed

Calculated values
magnetization = 2.625 μB/f.u.
calculated density = 5.45 Mg/m³
distance to the lowest polymorph of the same formula = 0.875 eV per atom

Unit cell a=3.886 b=3.886 c=4.473 alpha=90.00 beta=90.00 gamma=90.00
Positions (direct):
V (0.000, 0.000, 0.000)
C (0.500, 0.500, 0.500)
I (0.500, 0.500, 0.000)
O (0.000, 0.500, 0.500)
O (0.500, 0.000, 0.500)

Material: VCI2O
Method: DFT, PBE+U
State: relaxed

Calculated values
magnetization = 1.584 μB/f.u.
calculated density = 5.82 Mg/m³
distance to the lowest polymorph of the same formula = 0.520 eV per atom

Unit cell a=5.258 b=5.258 c=3.435 alpha=90.00 beta=90.00 gamma=90.00
Positions (direct):
V (0.000, 0.000, 0.000)
C (0.500, 0.500, 0.500)
I (0.000, 0.500, 0.500)
I (0.500, 0.000, 0.500)
O (0.500, 0.500, 0.000)